# Hf2Ti2Ge3

A relaxed Hf2Ti2Ge3 crystal (PBE-GGA, Alexandria via LeMat-Bulk).

Calculated values
* raw total energy: -51.5 eV for the cell shown
* total magnetization: 0.00 μB per cell

a = 3.865 Å, b = 6.157 Å, c = 6.231 Å
α = 98.80°, β = 108.07°, γ = 90.00°
Sites, in units of the cell vectors:
Ge 0.738 0.257 0.476
Ge 0.262 0.743 0.524
Ge 0.000 0.000 0.000
Hf 0.379 0.153 0.759
Hf 0.621 0.847 0.241
Ti 0.123 0.382 0.246
Ti 0.877 0.618 0.754

# HfTi3Ge3

A relaxed HfTi3Ge3 crystal (PBE-GGA, Alexandria via LeMat-Bulk).

Calculated values
* raw total energy: -100.7 eV for the cell shown
* total magnetization: 0.00 μB per cell

a = 7.640 Å, b = 7.640 Å, c = 6.784 Å
α = 55.73°, β = 55.73°, γ = 60.00°
Sites, in units of the cell vectors:
Ti 0.079 0.830 0.753
Ti 0.921 0.170 0.247
Ti 0.338 0.079 0.753
Ti 0.830 0.338 0.753
Ti 0.662 0.921 0.247
Ti 0.170 0.662 0.247
Ge 0.902 0.533 0.258
Ge 0.533 0.307 0.258
Ge 0.307 0.902 0.258
Ge 0.693 0.098 0.742
Ge 0.098 0.467 0.742
Ge 0.467 0.693 0.742
Hf 0.675 0.675 0.974
Hf 0.325 0.325 0.026

# Hf4TiGe5

A relaxed Hf4TiGe5 crystal (PBE-GGA, Alexandria via LeMat-Bulk).

Calculated values
* raw total energy: -76.4 eV for the cell shown
* total magnetization: 0.00 μB per cell

a = 5.398 Å, b = 6.599 Å, c = 6.599 Å
α = 80.37°, β = 65.86°, γ = 65.86°
Sites, in units of the cell vectors:
Ge 0.902 0.392 0.806
Ge 0.294 0.806 0.608
Ge 0.708 0.194 0.392
Ge 0.100 0.608 0.194
Ge 0.501 0.000 0.000
Hf 0.598 0.602 0.204
Hf 0.802 0.796 0.602
Hf 0.200 0.204 0.398
Hf 0.404 0.398 0.796
Ti 0.001 0.000 0.000

Which of these has the highest raw total energy? Hf2Ti2Ge3

Which formula does entry 2 have? HfTi3Ge3

Among the records above, which one has the lowest raw total energy? HfTi3Ge3